Entry 1:
The following is a GGA-PBE calculation of an optimized crystal structure of TaNbCuRe, from OQMD.

Computed properties:
Space group   F-43m (216)
Energy above the lowest structure with this stoichiometry   0 meV per atom
Magnetic moment   0.0 μB/cell
Calculated total energy   -9.544 eV/atom
Formation enthalpy at 0 K   -0.02 eV/atom

Unit cell a=6.346 b=6.346 c=6.346 alpha=90.00 beta=90.00 gamma=90.00
Atoms (fractional coordinates):
Ta 0.000 0.000 0.000
Ta 0.000 0.500 0.500
Ta 0.500 0.000 0.500
Ta 0.500 0.500 0.000
Nb 0.000 0.000 0.500
Nb 0.000 0.500 0.000
Nb 0.500 0.000 0.000
Nb 0.500 0.500 0.500
Cu 0.250 0.250 0.250
Cu 0.250 0.750 0.750
Cu 0.750 0.250 0.750
Cu 0.750 0.750 0.250
Re 0.250 0.250 0.750
Re 0.250 0.750 0.250
Re 0.750 0.250 0.250
Re 0.750 0.750 0.750

Entry 2:
The following is a GGA-PBE calculation of an optimized crystal structure of HoNpSb, from OQMD.

Computed properties:
Space group   F-43m (216)
Magnetic moment   24.7 μB/cell
Calculated total energy   -6.732 eV/atom

Unit cell a=7.008 b=7.008 c=7.008 alpha=90.00 beta=90.00 gamma=90.00
Atoms (fractional coordinates):
Ho 0.000 0.000 0.000
Ho 0.000 0.500 0.500
Ho 0.500 0.000 0.500
Ho 0.500 0.500 0.000
Np 0.250 0.250 0.250
Np 0.250 0.750 0.750
Np 0.750 0.250 0.750
Np 0.750 0.750 0.250
Sb 0.250 0.250 0.750
Sb 0.250 0.750 0.250
Sb 0.750 0.250 0.250
Sb 0.750 0.750 0.750

Entry 3:
The following is a GGA-PBE calculation of an optimized crystal structure of RbMoAuSe2S, from OQMD.

Computed properties:
Space group   Cmcm (63)
Magnetic moment   4.0 μB/cell
Calculated total energy   -4.712 eV/atom

Unit cell a=7.990 b=7.990 c=10.039 alpha=90.00 beta=90.00 gamma=151.59
Atoms (fractional coordinates):
Rb 0.249 0.751 0.750
Rb 0.751 0.249 0.250
Mo 0.000 0.000 0.000
Mo 0.000 0.000 0.500
Au 0.455 0.545 0.250
Au 0.545 0.455 0.750
Se 0.385 0.615 0.024
Se 0.385 0.615 0.476
Se 0.615 0.385 0.524
Se 0.615 0.385 0.976
S 0.059 0.941 0.250
S 0.941 0.059 0.750

Entry 4:
The following is a GGA-PBE calculation of an optimized crystal structure of ZnAgTeO, from OQMD.

Computed properties:
Space group   Pca2_1 (29)
Energy above the lowest structure with this stoichiometry   0 meV per atom
Calculated total energy   -3.615 eV/atom

Unit cell a=6.104 b=8.871 c=5.707 alpha=90.00 beta=90.00 gamma=90.00
Atoms (fractional coordinates):
Zn 0.114 0.057 0.000
Zn 0.386 0.057 0.500
Zn 0.614 0.943 0.000
Zn 0.886 0.943 0.500
Ag 0.020 0.331 0.366
Ag 0.480 0.331 0.866
Ag 0.520 0.669 0.366
Ag 0.980 0.669 0.866
Te 0.042 0.653 0.362
Te 0.458 0.653 0.862
Te 0.542 0.347 0.362
Te 0.958 0.347 0.862
O 0.104 0.066 0.341
O 0.396 0.066 0.841
O 0.604 0.934 0.341
O 0.896 0.934 0.841